Material: Ta2Mn2Zn
Method: DFT, PBE
State: relaxed

abc: 8.563 8.563 8.563
angles: 159.53 159.53 29.10
Positions (direct):
1 Ta 0.112 0.112 0.000
2 Ta 0.888 0.888 0.000
3 Mn 0.250 0.750 0.500
4 Mn 0.750 0.250 0.500
5 Zn 0.500 0.500 0.000

## Properties
D(E_F) in states/eV/atom: 0.65
E in eV per atom: -8.323
Magnetic moment in μB/f.u.: 0.00


Material: Sc2OsO
Method: DFT, PBE
State: relaxed

abc: 7.788 7.788 7.788
angles: 22.34 22.34 22.34
Positions (direct):
1 Sc 0.108 0.108 0.108
2 Sc 0.892 0.892 0.892
3 Os 0.000 0.000 0.000
4 O 0.500 0.500 0.500

## Properties
Formation energy without anion corrections in eV/atom: -1.06
D(E_F) in states/eV/atom: 0.86
Magnetic moment in μB/f.u.: 0.00